First-principles (PBE) data for an optimized crystal structure of MnPt2, as listed in the Alexandria database.

Results
formation energy: -58 kJ/mol of formula units
space-group type: P-3m1
total magnetic moment: 1.522 μB/atom
crystal system: trigonal

a = 2.859 Å, b = 2.859 Å, c = 6.533 Å
α = 90.00°, β = 90.00°, γ = 120.00°
Fractional positions:
Mn (0.000, 0.000, 0.000)
Pt (0.333, 0.667, 0.684)
Pt (0.667, 0.333, 0.316)

First-principles (PBE) data for an optimized crystal structure of MnPt3, as listed in the Alexandria database.

Results
formation energy: -84 kJ/mol of formula units
space-group type: Imm2
total magnetic moment: 1.185 μB/atom
crystal system: orthorhombic

a = 5.373 Å, b = 5.373 Å, c = 5.373 Å
α = 149.73°, β = 62.16°, γ = 127.11°
Fractional positions:
Mn (0.000, 0.000, 0.000)
Pt (0.083, 0.336, 0.746)
Pt (0.493, 0.993, 0.500)
Pt (0.590, 0.336, 0.254)

First-principles (PBE) data for an optimized crystal structure of MnPt3, as listed in the Alexandria database.

Results
formation energy: -19 kJ/mol of formula units
space-group type: Pmm2
total magnetic moment: 1.021 μB/atom
crystal system: orthorhombic

a = 2.760 Å, b = 2.761 Å, c = 8.428 Å
α = 90.00°, β = 90.00°, γ = 90.00°
Fractional positions:
Mn (0.000, 0.000, 0.000)
Pt (0.000, 0.500, 0.258)
Pt (0.500, 0.000, 0.504)
Pt (0.500, 0.500, 0.784)

First-principles (PBE) data for an optimized crystal structure of Mn3Pt, as listed in the Alexandria database.

Results
formation energy: -8 kJ/mol of formula units
space-group type: Imm2
total magnetic moment: 0.073 μB/atom
crystal system: orthorhombic

a = 4.943 Å, b = 4.943 Å, c = 4.943 Å
α = 148.82°, β = 64.01°, γ = 125.64°
Fractional positions:
Mn (0.000, 0.000, 0.000)
Mn (0.084, 0.338, 0.746)
Mn (0.592, 0.338, 0.254)
Pt (0.496, 0.996, 0.500)

First-principles (PBE) data for an optimized crystal structure of MnPt5, as listed in the Alexandria database.

Results
formation energy: -95 kJ/mol of formula units
space-group type: P4/mmm
total magnetic moment: 0.589 μB/atom
crystal system: tetragonal

a = 2.792 Å, b = 2.792 Å, c = 11.836 Å
α = 90.00°, β = 90.00°, γ = 90.00°
Fractional positions:
Mn (0.000, 0.000, 0.000)
Pt (0.000, 0.000, 0.330)
Pt (0.000, 0.000, 0.670)
Pt (0.500, 0.500, 0.155)
Pt (0.500, 0.500, 0.500)
Pt (0.500, 0.500, 0.845)

First-principles (PBE) data for an optimized crystal structure of MnPt2, as listed in the Alexandria database.

Results
formation energy: -17 kJ/mol of formula units
space-group type: Fm-3m
total magnetic moment: 1.287 μB/atom
crystal system: cubic

a = 4.153 Å, b = 4.153 Å, c = 4.153 Å
α = 60.00°, β = 60.00°, γ = 60.00°
Fractional positions:
Mn (0.000, 0.000, 0.000)
Pt (0.250, 0.250, 0.250)
Pt (0.750, 0.750, 0.750)

First-principles (PBE) data for an optimized crystal structure of Mn3Pt4, as listed in the Alexandria database.

Results
ΔE to the lowest computed polymorph: 107 meV per atom
formation energy: -118 kJ/mol of formula units
space-group type: I4/mmm
total magnetic moment: 1.656 μB/atom
crystal system: tetragonal

a = 9.974 Å, b = 9.974 Å, c = 9.974 Å
α = 160.75°, β = 160.75°, γ = 27.35°
Fractional positions:
Mn (0.000, 0.000, 0.000)
Mn (0.292, 0.292, 0.000)
Mn (0.708, 0.708, 0.000)
Pt (0.155, 0.155, 0.000)
Pt (0.429, 0.429, 0.000)
Pt (0.571, 0.571, 0.000)
Pt (0.845, 0.845, 0.000)

First-principles (PBE) data for an optimized crystal structure of MnPt, as listed in the Alexandria database.

Results
formation energy: -30 kJ/mol of formula units
space-group type: P6_3/mmc
total magnetic moment: 2.113 μB/atom
crystal system: hexagonal

a = 2.858 Å, b = 2.858 Å, c = 8.614 Å
α = 90.00°, β = 90.00°, γ = 120.00°
Fractional positions:
Mn (0.000, 0.000, 0.000)
Mn (0.000, 0.000, 0.500)
Pt (0.333, 0.667, 0.250)
Pt (0.667, 0.333, 0.750)

Copy entry 7 word for word.
First-principles (PBE) data for an optimized crystal structure of Mn3Pt4, as listed in the Alexandria database.

Results
ΔE to the lowest computed polymorph: 107 meV per atom
formation energy: -118 kJ/mol of formula units
space-group type: I4/mmm
total magnetic moment: 1.656 μB/atom
crystal system: tetragonal

a = 9.974 Å, b = 9.974 Å, c = 9.974 Å
α = 160.75°, β = 160.75°, γ = 27.35°
Fractional positions:
Mn (0.000, 0.000, 0.000)
Mn (0.292, 0.292, 0.000)
Mn (0.708, 0.708, 0.000)
Pt (0.155, 0.155, 0.000)
Pt (0.429, 0.429, 0.000)
Pt (0.571, 0.571, 0.000)
Pt (0.845, 0.845, 0.000)